[1]
This record from OQMD via LeMat-Bulk describes crystalline Be2Mo3 at its relaxed geometry. The functional is PBE.

Lattice parameters (Å, degrees): 6.2407 6.2407 3.2134 90.00 90.00 90.00
Positions (direct):
Be 0.1178 0.3822 0.0000
Be 0.3822 0.8822 0.0000
Be 0.6178 0.1178 0.0000
Be 0.8822 0.6178 0.0000
Mo 0.0000 0.0000 0.0000
Mo 0.1769 0.6769 0.5000
Mo 0.3231 0.1769 0.5000
Mo 0.5000 0.5000 0.0000
Mo 0.6769 0.8231 0.5000
Mo 0.8231 0.3231 0.5000

Total DFT energy (no corrections), eV/atom: -8.193
Space group: P4/mbm (127)
Total magnetic moment, μB/f.u.: 0.0

[2]
This record from OQMD via LeMat-Bulk describes crystalline BeMo2 at its relaxed geometry. The functional is PBE.

Lattice parameters (Å, degrees): 5.1339 5.1339 5.1339 60.00 60.00 60.00
Positions (direct):
Be 0.1250 0.1250 0.1250
Be 0.8750 0.8750 0.8750
Mo 0.0000 0.5000 0.5000
Mo 0.5000 0.0000 0.5000
Mo 0.5000 0.5000 0.0000
Mo 0.5000 0.5000 0.5000

Total DFT energy (no corrections), eV/atom: -7.648
Space group: Fd-3m (227)
Total magnetic moment, μB/f.u.: 0.0
Distance to the lowest polymorph of the same formula, meV per atom: 0

[3]
This record from OQMD via LeMat-Bulk describes crystalline BeMo2 at its relaxed geometry. The functional is PBE.

Lattice parameters (Å, degrees): 7.0953 7.0953 7.0953 60.00 60.00 60.00
Positions (direct):
Be 0.1250 0.1250 0.1250
Be 0.8750 0.8750 0.8750
Mo 0.0000 0.0000 0.0000
Mo 0.0000 0.0000 0.5000
Mo 0.0000 0.5000 0.0000
Mo 0.5000 0.0000 0.0000

Total DFT energy (no corrections), eV/atom: -4.987
Space group: Fd-3m (227)
Total magnetic moment, μB/f.u.: 6.6
Distance to the lowest polymorph of the same formula, meV per atom: 2661

[4]
This record from OQMD via LeMat-Bulk describes crystalline Be2Mo at its relaxed geometry. The functional is PBE.

Lattice parameters (Å, degrees): 7.6849 7.6849 7.6849 60.00 60.00 60.00
Positions (direct):
Be 0.0000 0.0000 0.0000
Be 0.0000 0.0000 0.5000
Be 0.0000 0.5000 0.0000
Be 0.5000 0.0000 0.0000
Mo 0.1250 0.1250 0.1250
Mo 0.8750 0.8750 0.8750

Total DFT energy (no corrections), eV/atom: -3.200
Space group: Fd-3m (227)
Total magnetic moment, μB/f.u.: 2.0
Distance to the lowest polymorph of the same formula, meV per atom: 3233

[5]
This record from OQMD via LeMat-Bulk describes crystalline BeMo at its relaxed geometry. The functional is PBE.

Lattice parameters (Å, degrees): 2.7059 2.7059 4.1303 90.00 90.00 120.00
Positions (direct):
Be 0.0000 0.0000 0.0000
Mo 0.6667 0.3333 0.5000

Total DFT energy (no corrections), eV/atom: -6.953
Space group: P-6m2 (187)
Total magnetic moment, μB/f.u.: 0.0
Distance to the lowest polymorph of the same formula, meV per atom: 78

[6]
This record from OQMD via LeMat-Bulk describes crystalline Be2Mo at its relaxed geometry. The functional is PBE.

Lattice parameters (Å, degrees): 4.4571 4.4571 4.4571 60.00 60.00 60.00
Positions (direct):
Be 0.0000 0.0000 0.0000
Be 0.0000 0.0000 0.5000
Be 0.0000 0.5000 0.0000
Be 0.5000 0.0000 0.0000
Mo 0.3750 0.3750 0.3750
Mo 0.6250 0.6250 0.6250

Total DFT energy (no corrections), eV/atom: -6.433
Space group: Fd-3m (227)
Total magnetic moment, μB/f.u.: 0.0
Distance to the lowest polymorph of the same formula, meV per atom: 0

[7]
This record from OQMD via LeMat-Bulk describes crystalline BeNb2Mo at its relaxed geometry. The functional is PBE.

Lattice parameters (Å, degrees): 4.4520 4.4520 4.4520 60.00 60.00 60.00
Positions (direct):
Be 0.0000 0.0000 0.0000
Nb 0.5000 0.5000 0.5000
Nb 0.7500 0.7500 0.7500
Mo 0.2500 0.2500 0.2500

Total DFT energy (no corrections), eV/atom: -8.477
Space group: F-43m (216)
Total magnetic moment, μB/f.u.: 0.0

[8]
This record from OQMD via LeMat-Bulk describes crystalline BeNbSbMo at its relaxed geometry. The functional is PBE.

Lattice parameters (Å, degrees): 4.5043 4.5043 4.5043 60.00 60.00 60.00
Positions (direct):
Be 0.0000 0.0000 0.0000
Nb 0.2500 0.2500 0.2500
Sb 0.7500 0.7500 0.7500
Mo 0.5000 0.5000 0.5000

Total DFT energy (no corrections), eV/atom: -6.946
Space group: F-43m (216)
Total magnetic moment, μB/f.u.: 0.0
Distance to the lowest polymorph of the same formula, meV per atom: 0

[9]
This record from OQMD via LeMat-Bulk describes crystalline BeNbSbMo at its relaxed geometry. The functional is PBE.

Lattice parameters (Å, degrees): 4.5139 4.5139 4.5139 60.00 60.00 60.00
Positions (direct):
Be 0.0000 0.0000 0.0000
Nb 0.2500 0.2500 0.2500
Sb 0.5000 0.5000 0.5000
Mo 0.7500 0.7500 0.7500

Total DFT energy (no corrections), eV/atom: -6.869
Space group: F-43m (216)
Total magnetic moment, μB/f.u.: 0.0
Distance to the lowest polymorph of the same formula, meV per atom: 77

[10]
This record from OQMD via LeMat-Bulk describes crystalline TaBeNbMo at its relaxed geometry. The functional is PBE.

Lattice parameters (Å, degrees): 4.4504 4.4504 4.4504 60.00 60.00 60.00
Positions (direct):
Ta 0.0000 0.0000 0.0000
Be 0.2500 0.2500 0.2500
Nb 0.7500 0.7500 0.7500
Mo 0.5000 0.5000 0.5000

Total DFT energy (no corrections), eV/atom: -8.922
Space group: F-43m (216)
Total magnetic moment, μB/f.u.: 0.0
Distance to the lowest polymorph of the same formula, meV per atom: 132

[11]
This record from OQMD via LeMat-Bulk describes crystalline TaBeNbMo at its relaxed geometry. The functional is PBE.

Lattice parameters (Å, degrees): 4.4631 4.4631 4.4631 60.00 60.00 60.00
Positions (direct):
Ta 0.0000 0.0000 0.0000
Be 0.2500 0.2500 0.2500
Nb 0.5000 0.5000 0.5000
Mo 0.7500 0.7500 0.7500

Total DFT energy (no corrections), eV/atom: -9.054
Space group: F-43m (216)
Total magnetic moment, μB/f.u.: 0.0
Distance to the lowest polymorph of the same formula, meV per atom: 0

[12]
This record from OQMD via LeMat-Bulk describes crystalline Be4Ni2Mo at its relaxed geometry. The functional is PBE.

Lattice parameters (Å, degrees): 3.6424 3.6424 5.6268 90.00 90.00 90.00
Positions (direct):
Be 0.0000 0.5000 0.2119
Be 0.0000 0.5000 0.7881
Be 0.5000 0.0000 0.2119
Be 0.5000 0.0000 0.7881
Ni 0.0000 0.0000 0.0000
Ni 0.5000 0.5000 0.5000
Mo 0.0000 0.0000 0.5000

Total DFT energy (no corrections), eV/atom: -5.363
Space group: P4/mmm (123)
Total magnetic moment, μB/f.u.: 0.0

[13]
This record from OQMD via LeMat-Bulk describes crystalline BeNiMo2 at its relaxed geometry. The functional is PBE.

Lattice parameters (Å, degrees): 4.2119 4.2119 4.2119 60.00 60.00 60.00
Positions (direct):
Be 0.0000 0.0000 0.0000
Ni 0.7500 0.7500 0.7500
Mo 0.2500 0.2500 0.2500
Mo 0.5000 0.5000 0.5000

Total DFT energy (no corrections), eV/atom: -7.528
Space group: F-43m (216)
Total magnetic moment, μB/f.u.: 0.0

[14]
This record from OQMD via LeMat-Bulk describes crystalline BeNiMo at its relaxed geometry. The functional is PBE.

Lattice parameters (Å, degrees): 3.8128 3.8128 3.8128 60.00 60.00 60.00
Positions (direct):
Be 0.0000 0.0000 0.0000
Ni 0.2500 0.2500 0.2500
Mo 0.5000 0.5000 0.5000

Total DFT energy (no corrections), eV/atom: -6.538
Space group: F-43m (216)
Total magnetic moment, μB/f.u.: 0.0
Distance to the lowest polymorph of the same formula, meV per atom: 0

[15]
This record from OQMD via LeMat-Bulk describes crystalline Be2Ni2Mo3 at its relaxed geometry. The functional is PBE.

Lattice parameters (Å, degrees): 6.4468 6.4468 6.4468 37.31 37.31 37.31
Positions (direct):
Be 0.0000 0.0000 0.0000
Be 0.4289 0.4289 0.4289
Ni 0.3007 0.3007 0.3007
Ni 0.7183 0.7183 0.7183
Mo 0.1409 0.1409 0.1409
Mo 0.5816 0.5816 0.5816
Mo 0.8603 0.8603 0.8603

Total DFT energy (no corrections), eV/atom: -7.229
Space group: R3m (160)
Total magnetic moment, μB/f.u.: 0.5

[16]
This record from OQMD via LeMat-Bulk describes crystalline BeNiMo at its relaxed geometry. The functional is PBE.

Lattice parameters (Å, degrees): 3.9019 3.9019 3.9019 60.00 60.00 60.00
Positions (direct):
Be 0.0000 0.0000 0.0000
Ni 0.5000 0.5000 0.5000
Mo 0.2500 0.2500 0.2500

Total DFT energy (no corrections), eV/atom: -5.993
Space group: F-43m (216)
Total magnetic moment, μB/f.u.: 0.0
Distance to the lowest polymorph of the same formula, meV per atom: 545

[17]
This record from OQMD via LeMat-Bulk describes crystalline BeNi2Mo at its relaxed geometry. The functional is PBE.

Lattice parameters (Å, degrees): 3.9883 3.9883 3.9883 60.00 60.00 60.00
Positions (direct):
Be 0.0000 0.0000 0.0000
Ni 0.2500 0.2500 0.2500
Ni 0.5000 0.5000 0.5000
Mo 0.7500 0.7500 0.7500

Total DFT energy (no corrections), eV/atom: -6.464
Space group: F-43m (216)
Total magnetic moment, μB/f.u.: 0.0

[18]
This record from OQMD via LeMat-Bulk describes crystalline BeSiNiMo at its relaxed geometry. The functional is PBE.

Lattice parameters (Å, degrees): 4.0389 4.0389 4.0389 60.00 60.00 60.00
Positions (direct):
Be 0.0000 0.0000 0.0000
Si 0.5000 0.5000 0.5000
Ni 0.7500 0.7500 0.7500
Mo 0.2500 0.2500 0.2500

Total DFT energy (no corrections), eV/atom: -6.580
Space group: F-43m (216)
Total magnetic moment, μB/f.u.: 0.0
Distance to the lowest polymorph of the same formula, meV per atom: 0

[19]
This record from OQMD via LeMat-Bulk describes crystalline BeSiNiMo at its relaxed geometry. The functional is PBE.

Lattice parameters (Å, degrees): 4.0610 4.0610 4.0610 60.00 60.00 60.00
Positions (direct):
Be 0.0000 0.0000 0.0000
Si 0.2500 0.2500 0.2500
Ni 0.5000 0.5000 0.5000
Mo 0.7500 0.7500 0.7500

Total DFT energy (no corrections), eV/atom: -6.257
Space group: F-43m (216)
Total magnetic moment, μB/f.u.: 1.1
Distance to the lowest polymorph of the same formula, meV per atom: 323

[20]
This record from OQMD via LeMat-Bulk describes crystalline NpBeMo at its relaxed geometry. The functional is PBE.

Lattice parameters (Å, degrees): 4.1341 4.1341 4.1341 60.00 60.00 60.00
Positions (direct):
Np 0.0000 0.0000 0.0000
Be 0.7500 0.7500 0.7500
Mo 0.5000 0.5000 0.5000

Total DFT energy (no corrections), eV/atom: -8.411
Space group: F-43m (216)
Total magnetic moment, μB/f.u.: 2.9
Distance to the lowest polymorph of the same formula, meV per atom: 0

[21]
This record from OQMD via LeMat-Bulk describes crystalline BeMoOs at its relaxed geometry. The functional is PBE.

Lattice parameters (Å, degrees): 4.0692 4.0692 4.0692 60.00 60.00 60.00
Positions (direct):
Be 0.0000 0.0000 0.0000
Mo 0.5000 0.5000 0.5000
Os 0.2500 0.2500 0.2500

Total DFT energy (no corrections), eV/atom: -8.156
Space group: F-43m (216)
Total magnetic moment, μB/f.u.: 0.0
Distance to the lowest polymorph of the same formula, meV per atom: 0

[22]
This record from OQMD via LeMat-Bulk describes crystalline Be2MoOs at its relaxed geometry. The functional is PBE.

Lattice parameters (Å, degrees): 4.1137 4.1137 4.1137 60.00 60.00 60.00
Positions (direct):
Be 0.0000 0.0000 0.0000
Be 0.2500 0.2500 0.2500
Mo 0.7500 0.7500 0.7500
Os 0.5000 0.5000 0.5000

Total DFT energy (no corrections), eV/atom: -7.442
Space group: F-43m (216)
Total magnetic moment, μB/f.u.: 0.0

[23]
This record from OQMD via LeMat-Bulk describes crystalline BeZnMoOs at its relaxed geometry. The functional is PBE.

Lattice parameters (Å, degrees): 4.2329 4.2329 4.2329 60.00 60.00 60.00
Positions (direct):
Be 0.0000 0.0000 0.0000
Zn 0.7500 0.7500 0.7500
Mo 0.5000 0.5000 0.5000
Os 0.2500 0.2500 0.2500

Total DFT energy (no corrections), eV/atom: -6.721
Space group: F-43m (216)
Total magnetic moment, μB/f.u.: 0.0
Distance to the lowest polymorph of the same formula, meV per atom: 0

[24]
This record from OQMD via LeMat-Bulk describes crystalline BeZnMoOs at its relaxed geometry. The functional is PBE.

Lattice parameters (Å, degrees): 4.1845 4.1845 4.1845 60.00 60.00 60.00
Positions (direct):
Be 0.0000 0.0000 0.0000
Zn 0.5000 0.5000 0.5000
Mo 0.7500 0.7500 0.7500
Os 0.2500 0.2500 0.2500

Total DFT energy (no corrections), eV/atom: -6.467
Space group: F-43m (216)
Total magnetic moment, μB/f.u.: 0.4
Distance to the lowest polymorph of the same formula, meV per atom: 254

[25]
This record from OQMD via LeMat-Bulk describes crystalline BeMo2Pb at its relaxed geometry. The functional is PBE.

Lattice parameters (Å, degrees): 4.5148 4.5148 4.5148 60.00 60.00 60.00
Positions (direct):
Be 0.0000 0.0000 0.0000
Mo 0.2500 0.2500 0.2500
Mo 0.5000 0.5000 0.5000
Pb 0.7500 0.7500 0.7500

Total DFT energy (no corrections), eV/atom: -6.609
Space group: F-43m (216)
Total magnetic moment, μB/f.u.: 0.0

[26]
This record from OQMD via LeMat-Bulk describes crystalline BeMoPb at its relaxed geometry. The functional is PBE.

Lattice parameters (Å, degrees): 4.4509 4.4509 4.4509 60.00 60.00 60.00
Positions (direct):
Be 0.0000 0.0000 0.0000
Mo 0.2500 0.2500 0.2500
Pb 0.5000 0.5000 0.5000

Total DFT energy (no corrections), eV/atom: -4.948
Space group: F-43m (216)
Total magnetic moment, μB/f.u.: 1.8
Distance to the lowest polymorph of the same formula, meV per atom: 0

[27]
This record from OQMD via LeMat-Bulk describes crystalline BeMo2Pd at its relaxed geometry. The functional is PBE.

Lattice parameters (Å, degrees): 4.3221 4.3221 4.3221 60.00 60.00 60.00
Positions (direct):
Be 0.0000 0.0000 0.0000
Mo 0.2500 0.2500 0.2500
Mo 0.5000 0.5000 0.5000
Pd 0.7500 0.7500 0.7500

Total DFT energy (no corrections), eV/atom: -7.444
Space group: F-43m (216)
Total magnetic moment, μB/f.u.: 0.0

[28]
This record from OQMD via LeMat-Bulk describes crystalline Pm3Be2Mo4 at its relaxed geometry. The functional is PBE.

Lattice parameters (Å, degrees): 6.7530 6.7530 4.5051 90.00 90.00 120.00
Positions (direct):
Pm 0.0055 0.4192 0.0000
Pm 0.4137 0.9945 0.0000
Pm 0.5808 0.5863 0.0000
Be 0.0000 0.0000 0.0000
Be 0.3333 0.6667 0.5000
Mo 0.2188 0.2171 0.5000
Mo 0.6667 0.3333 0.5000
Mo 0.7829 0.0017 0.5000
Mo 0.9983 0.7812 0.5000

Total DFT energy (no corrections), eV/atom: -6.891
Space group: P-6 (174)
Total magnetic moment, μB/f.u.: 0.0

[29]
This record from OQMD via LeMat-Bulk describes crystalline PrBeMo3 at its relaxed geometry. The functional is PBE.

Lattice parameters (Å, degrees): 4.4903 4.4903 4.4903 90.00 90.00 90.00
Positions (direct):
Pr 0.0000 0.0000 0.0000
Be 0.5000 0.5000 0.5000
Mo 0.0000 0.5000 0.5000
Mo 0.5000 0.0000 0.5000
Mo 0.5000 0.5000 0.0000

Total DFT energy (no corrections), eV/atom: -7.376
Space group: Pm-3m (221)
Total magnetic moment, μB/f.u.: 0.0

[30]
This record from OQMD via LeMat-Bulk describes crystalline PrBeMo at its relaxed geometry. The functional is PBE.

Lattice parameters (Å, degrees): 4.4090 4.4090 4.4090 60.00 60.00 60.00
Positions (direct):
Pr 0.0000 0.0000 0.0000
Be 0.7500 0.7500 0.7500
Mo 0.5000 0.5000 0.5000

Total DFT energy (no corrections), eV/atom: -5.652
Space group: F-43m (216)
Total magnetic moment, μB/f.u.: 0.8
Distance to the lowest polymorph of the same formula, meV per atom: 0